Computed, not measured: crystalline NaGaSn at its relaxed geometry at the PBE-GGA level of DFT.

Calculated values
The electronic total energy comes out at -34.96 eV per cell. The energy relative to the elements is -0.39 eV/f.u. The density of states at the Fermi level is 0.25 states/eV per atom.

Lattice parameters (Å, degrees): 4.3794 14.0823 4.8647 90.00 90.00 90.00
Closest atoms and distances in Å follow each position.
Space group Cmcm (No. 63)
Symmetry-distinct sites (fractional):
Na (0.0000, 0.0818, 0.2500) [4 per cell]  4 Ga 3.16-3.46, 4 Sn 3.33, 2 Na 3.35
Ga (0.0000, 0.2561, 0.7500) [4 per cell]  4 Sn 2.86-2.95, 2 Na 3.16
Sn (0.0000, 0.3750, 0.2500) [4 per cell]  4 Ga 2.86-2.95

***

Computed, not measured: crystalline NaGaSn2 at its relaxed geometry at the PBE-GGA level of DFT.

Calculated values
The electronic total energy comes out at -51.26 eV per cell. The energy relative to the elements is -0.46 eV/f.u. The density of states at the Fermi level is 0.14 states/eV per atom.

Lattice parameters (Å, degrees): 6.9053 10.7769 6.7603 90.00 115.90 90.00
Closest atoms and distances in Å follow each position.
Space group C2/c (No. 15)
Symmetry-distinct sites (fractional):
Na (0.0000, 0.0963, 0.2500) [4 per cell]  3 Ga 3.25-3.58, 4 Sn 3.35-3.53
Ga (0.0000, 0.2054, 0.7500) [4 per cell]  4 Sn 2.76
Sn (0.0789, 0.3763, 0.0816) [8 per cell]  2 Ga 2.76, 2 Sn 2.91-2.92

***

Computed, not measured: crystalline NaGa6Sn2 at its relaxed geometry at the PBE-GGA level of DFT.

Calculated values
As for the energy above the lowest structure with this stoichiometry: 9 meV/atom. The electronic total energy comes out at -54.58 eV per cell. The energy relative to the elements is 0.19 eV/f.u. The density of states at the Fermi level is 0.36 states/eV per atom.

Lattice parameters (Å, degrees): 14.5827 7.2858 4.0193 90.00 102.72 90.00
Closest atoms and distances in Å follow each position.
Space group C2/m (No. 12)
Symmetry-distinct sites (fractional):
Na (0.0000, 0.0000, 0.0000) [2 per cell]  4 Ga 3.05
Ga (0.0000, 0.3149, 0.5000) [4 per cell]  3 Ga 2.70-2.79
Ga (0.1847, 0.1879, 0.6761) [8 per cell]  4 Ga 2.74-3.01, 1 Sn 2.99
Sn (0.1294, 0.5000, 0.1065) [4 per cell]  10 Ga 2.99-3.20

***

Computed, not measured: crystalline NaGaSn at its relaxed geometry at the PBE-GGA level of DFT.

Calculated values
The electronic total energy comes out at -35.50 eV per cell. The energy relative to the elements is -0.53 eV/f.u. The density of states at the Fermi level is 0.20 states/eV per atom.

Lattice parameters (Å, degrees): 7.8405 4.8502 7.9469 90.00 90.00 90.00
Closest atoms and distances in Å follow each position.
Space group Pnma (No. 62)
Symmetry-distinct sites (fractional):
Na (0.0078, 0.2500, 0.1851) [4 per cell]  6 Ga 3.28-3.65, 6 Sn 3.34-3.52
Ga (0.1736, 0.7500, 0.4109) [4 per cell]  4 Sn 2.76-2.83
Sn (0.1868, 0.2500, 0.5915) [4 per cell]  4 Ga 2.76-2.83